Below is a relaxed Li7Mn2Co3O12 crystal, with properties calculated at the PBE with a Hubbard U level.

abc: 15.132 2.869 9.772
angles: 90.00 99.85 90.00
Space group Cm (No. 8)
Symmetry-distinct sites (fractional):
Li 0.000 0.000 0.000 (multiplicity 2)
Li 0.008 0.500 0.501 (multiplicity 2)
Li 0.170 0.500 0.992 (multiplicity 2)
Li 0.179 0.000 0.520 (multiplicity 2)
Li 0.255 0.500 0.753 (multiplicity 2)
Li 0.326 0.000 0.966 (multiplicity 2)
Li 0.343 0.500 0.513 (multiplicity 2)
Mn 0.090 0.000 0.755 (multiplicity 2)
Mn 0.255 0.000 0.249 (multiplicity 2)
Co 0.092 0.500 0.258 (multiplicity 2)
Co 0.417 0.000 0.749 (multiplicity 2)
Co 0.426 0.500 0.250 (multiplicity 2)
O 0.042 0.500 0.860 (multiplicity 2)
O 0.057 0.000 0.370 (multiplicity 2)
O 0.123 0.500 0.641 (multiplicity 2)
O 0.133 0.000 0.149 (multiplicity 2)
O 0.199 0.000 0.870 (multiplicity 2)
O 0.216 0.500 0.362 (multiplicity 2)
O 0.289 0.500 0.135 (multiplicity 2)
O 0.307 0.000 0.634 (multiplicity 2)
O 0.375 0.000 0.358 (multiplicity 2)
O 0.384 0.500 0.864 (multiplicity 2)
O 0.465 0.500 0.644 (multiplicity 2)
O 0.476 0.000 0.147 (multiplicity 2)

Total magnetic moment, μB/f.u.: 8.0
Polymorph energy (0 for the lowest one), meV per atom: 38